Entry 1:
DFT (PBE) results for Rb3Pu3VS8 after structural relaxation.

Total magnetic moment ... 16.00 μB/cell
D(E_F) ... 28.5 states/eV/cell
Space group ... No. 166
Formation energy from raw total energies ... -21.13 eV/f.u.
ρ ... 5.1 g/cm³

a b c (Å): 9.043 9.043 9.043
angles (deg): 51.83 51.83 51.83
Fractional positions:
Rb (0.000, 0.500, 0.500)
Rb (0.500, 0.000, 0.500)
Rb (0.500, 0.500, 0.000)
Pu (0.000, 0.000, 0.500)
Pu (0.000, 0.500, 0.000)
Pu (0.500, 0.000, 0.000)
V (0.500, 0.500, 0.500)
S (0.231, 0.231, 0.231)
S (0.248, 0.714, 0.714)
S (0.286, 0.286, 0.752)
S (0.286, 0.752, 0.286)
S (0.714, 0.248, 0.714)
S (0.714, 0.714, 0.248)
S (0.752, 0.286, 0.286)
S (0.769, 0.769, 0.769)

***

Entry 2:
DFT (PBE) results for RbPuVS4 after structural relaxation.

Total magnetic moment ... 12.00 μB/cell
D(E_F) ... 20.6 states/eV/cell
Space group ... No. 11
Formation energy from raw total energies ... -8.93 eV/f.u.
ρ ... 4.5 g/cm³

a b c (Å): 6.516 6.560 9.148
angles (deg): 90.00 108.08 90.00
Fractional positions:
Rb (0.228, 0.250, 0.437)
Rb (0.772, 0.750, 0.563)
Pu (0.274, 0.250, 0.952)
Pu (0.726, 0.750, 0.048)
V (0.280, 0.750, 0.168)
V (0.720, 0.250, 0.832)
S (0.076, 0.750, 0.318)
S (0.076, 0.750, 0.930)
S (0.492, 0.508, 0.795)
S (0.492, 0.992, 0.795)
S (0.508, 0.008, 0.205)
S (0.508, 0.492, 0.205)
S (0.924, 0.250, 0.070)
S (0.924, 0.250, 0.682)

***

no.,total DFT energy (no corrections) (eV/atom)
1,-7.2778
2,-7.1228